First-principles (PBE with a Hubbard U) data for a relaxed PmTl2MoO6 crystal, as listed in Alexandria via LeMat-Bulk.

```
data_PmTl2MoO6
_symmetry_space_group_name_H-M 'P -3 m 1'
_symmetry_Int_Tables_number 164
_symmetry_space_group_name_Hall '-P 3 2"'
_cell_length_a 6.4686
_cell_length_b 6.4686
_cell_length_c 6.0736
_cell_angle_alpha 90.00
_cell_angle_beta 90.00
_cell_angle_gamma 120.00
loop_
_atom_site_label
_atom_site_type_symbol
_atom_site_fract_x
_atom_site_fract_y
_atom_site_fract_z
Pm1 Pm 0.0000 0.0000 0.0000
Tl1 Tl 0.3333 0.6667 0.5291
Mo1 Mo 0.0000 0.0000 0.5000
O1 O 0.1370 0.2739 0.7008
```

## Properties
Energy in eV/atom: -6.17
DOS at the Fermi energy in states/eV per atom: 0.473